Record 1
The following is a PBE calculation of an optimized crystal structure of KRbCuAs, from OQMD.

- Calculated density: 3.62 g/cm³
- Distance to the lowest polymorph of the same formula: 2.5 meV per atom

a b c (Å): 6.109 6.435 6.435
angles (deg): 72.70 90.00 90.00
Sites, in units of the cell vectors:
Cu  0.500  0.503  0.503
Cu  0.000  0.503  0.503
K  0.750  0.015  0.321
K  0.250  0.321  0.015
Rb  0.250  0.984  0.679
Rb  0.750  0.679  0.984
As  0.250  0.733  0.263
As  0.750  0.263  0.733


Record 2
The following is a PBE calculation of an optimized crystal structure of CsNpPb, from OQMD.

- Calculated density: 8.06 g/cm³
- Total DFT energy (no corrections): -4.49 eV/atom

a b c (Å): 5.519 5.519 5.519
angles (deg): 60.00 60.00 60.00
Each line ends with the local moment (μB).
Sites, in units of the cell vectors:
Cs  0.000  0.000  0.000  0.02
Pb  0.250  0.250  0.250  0.15
Np  0.750  0.750  0.750  -4.34


Record 3
The following is a PBE calculation of an optimized crystal structure of SmGdNi8B2, from OQMD.

- Calculated density: 8.68 g/cm³
- Distance to the lowest polymorph of the same formula: 0.0 meV per atom

a b c (Å): 5.027 5.027 6.987
angles (deg): 90.00 90.00 120.00
Sites, in units of the cell vectors:
Ni  0.500  0.500  0.293
Ni  0.667  0.333  0.000
Ni  0.000  0.500  0.293
Ni  0.333  0.667  0.000
Ni  0.500  0.500  0.707
Ni  0.500  0.000  0.707
Ni  0.500  0.000  0.293
Ni  0.000  0.500  0.707
B  0.667  0.333  0.500
B  0.333  0.667  0.500
Sm  0.000  0.000  0.000
Gd  0.000  0.000  0.500